Entry 1:
DFT (GGA-PBE) results for HoHfSi after structural relaxation.

Computed properties:
- Final energy: -20.8 eV per cell

Cell and atoms, written as POSCAR:
```
HoHfSi
1.0
0.000 3.264 3.264
3.264 0.000 3.264
3.264 3.264 0.000
Hf Ho Si
1 1 1
Direct
0.250 0.250 0.250 Hf
0.750 0.750 0.750 Ho
0.000 0.000 0.000 Si
```

=====

Entry 2:
DFT (GGA-PBE) results for HoHf3Si4 after structural relaxation.

Computed properties:
- Final energy: -62.4 eV per cell

Cell and atoms, written as POSCAR:
```
HoHf3Si4
1.0
-3.168 -3.821 1.999
-0.791 -1.174 -3.498
5.601 -4.408 0.212
Hf Ho Si
3 1 4
Direct
0.122 0.000 0.327 Hf
0.880 0.500 0.677 Hf
0.374 0.000 0.818 Hf
0.625 0.500 0.177 Ho
0.137 0.500 0.037 Si
0.638 0.000 0.468 Si
0.358 0.500 0.545 Si
0.865 0.000 0.950 Si
```

=====

Entry 3:
DFT (GGA-PBE) results for HoHfTa after structural relaxation.

Computed properties:
- E_form: 1.1109 eV/atom
- Energy above the most stable polymorph in this dataset: 0 meV/atom

Cell and atoms, written as POSCAR:
```
HoHfTa
1.0
0.000 3.388 3.388
3.388 0.000 3.388
3.388 3.388 0.000
Hf Ho Ta
1 1 1
Direct
0.000 0.000 0.000 Hf
0.250 0.250 0.250 Ho
0.750 0.750 0.750 Ta
```